# Pu2Be4ZnGe3

An optimized crystal structure of Pu2Be4ZnGe3 (PBE-GGA, the Alexandria database).

Properties
E_form	-0.249	eV/atom
total moment	10.76	μB per cell

CIF file:
```
data_Pu2Be4ZnGe3
_chemical_formula_sum 'Pu2 Be4 Zn1 Ge3'
_cell_length_a 3.963
_cell_length_b 3.963
_cell_length_c 9.736
_cell_angle_alpha 90.00
_cell_angle_beta 90.00
_cell_angle_gamma 90.00
_symmetry_space_group_name_H-M 'P 1'
_symmetry_Int_Tables_number 1
_symmetry_space_group_name_Hall 'P 1'
loop_
_atom_site_label
_atom_site_type_symbol
_atom_site_fract_x
_atom_site_fract_y
_atom_site_fract_z
Ge1 Ge 0.500 0.000 0.868
Ge2 Ge 0.000 0.000 0.500
Ge3 Ge 0.000 0.500 0.132
Pu1 Pu 0.000 0.500 0.754
Pu2 Pu 0.500 0.000 0.246
Be1 Be 0.500 0.000 0.634
Be2 Be 0.000 0.500 0.366
Be3 Be 0.000 0.000 0.000
Be4 Be 0.500 0.500 0.000
Zn1 Zn 0.500 0.500 0.500
```